Entry 1:
# Np2VB2Ru5 | the Alexandria database | GGA-PBE | optimized geometry
# E_form: -0.309 eV/atom
# N(E_F): 1.29 states/eV/atom
data_Np2VB2Ru5
_chemical_formula_sum 'Np4 V2 B4 Ru10'
_space_group_name_H-M_alt 'P 1'
_space_group_IT_number 1
_cell_length_a 3.029
_cell_length_b 9.652
_cell_length_c 9.652
_cell_angle_alpha 90.00
_cell_angle_beta 90.00
_cell_angle_gamma 90.00
loop_
_space_group_symop_operation_xyz
'x,y,z'
loop_
_atom_site_label
_atom_site_type_symbol
_atom_site_fract_x
_atom_site_fract_y
_atom_site_fract_z
B1 B 0.000 0.379 0.121
Np1 Np 0.000 0.322 0.822
Np2 Np 0.000 0.178 0.322
V1 V 0.000 0.000 0.000
B2 B 0.000 0.621 0.879
V2 V 0.000 0.500 0.500
Ru1 Ru 0.500 0.217 0.068
Ru2 Ru 0.500 0.717 0.432
Ru3 Ru 0.500 0.568 0.717
Np3 Np 0.000 0.678 0.178
Ru4 Ru 0.500 0.932 0.217
Ru5 Ru 0.500 0.283 0.568
Np4 Np 0.000 0.822 0.678
Ru6 Ru 0.500 0.000 0.500
Ru7 Ru 0.500 0.783 0.932
Ru8 Ru 0.500 0.500 0.000
Ru9 Ru 0.500 0.432 0.283
B3 B 0.000 0.879 0.379
Ru10 Ru 0.500 0.068 0.783
B4 B 0.000 0.121 0.621

=====

Entry 2:
# Mg6NiAg2 | the Alexandria database | GGA-PBE | optimized geometry
# E_form: -0.156 eV/atom
# N(E_F): 0.34 states/eV/atom
data_Mg6NiAg2
_chemical_formula_sum 'Mg6 Ni1 Ag2'
_space_group_name_H-M_alt 'P 1'
_space_group_IT_number 1
_cell_length_a 3.260
_cell_length_b 7.794
_cell_length_c 7.791
_cell_angle_alpha 120.01
_cell_angle_beta 90.00
_cell_angle_gamma 90.00
loop_
_space_group_symop_operation_xyz
'x,y,z'
loop_
_atom_site_label
_atom_site_type_symbol
_atom_site_fract_x
_atom_site_fract_y
_atom_site_fract_z
Mg1 Mg 0.500 0.618 0.000
Ag1 Ag 0.000 0.333 0.666
Ni1 Ni 0.500 0.000 0.000
Mg2 Mg 0.000 0.000 0.259
Mg3 Mg 0.000 0.741 0.741
Mg4 Mg 0.500 0.000 0.618
Mg5 Mg 0.500 0.382 0.382
Ag2 Ag 0.000 0.667 0.334
Mg6 Mg 0.000 0.260 0.000

=====

Entry 3:
# Ba2LiNi | the Alexandria database | GGA-PBE | optimized geometry
# E_form: 0.117 eV/atom
# N(E_F): 0.74 states/eV/atom
data_Ba2LiNi
_chemical_formula_sum 'Ba2 Li1 Ni1'
_space_group_name_H-M_alt 'P 1'
_space_group_IT_number 1
_cell_length_a 3.919
_cell_length_b 3.931
_cell_length_c 9.588
_cell_angle_alpha 65.85
_cell_angle_beta 90.00
_cell_angle_gamma 90.00
loop_
_space_group_symop_operation_xyz
'x,y,z'
loop_
_atom_site_label
_atom_site_type_symbol
_atom_site_fract_x
_atom_site_fract_y
_atom_site_fract_z
Ba1 Ba 0.000 0.045 0.956
Ni1 Ni 0.500 0.750 0.750
Ba2 Ba 0.000 0.455 0.544
Li1 Li 0.500 0.250 0.250

=====

Entry 4:
# HoTh8C6 | the Alexandria database | GGA-PBE | optimized geometry
# E_form: -0.264 eV/atom
# N(E_F): 0.89 states/eV/atom
data_HoTh8C6
_chemical_formula_sum 'Ho1 Th8 C6'
_space_group_name_H-M_alt 'P 1'
_space_group_IT_number 1
_cell_length_a 6.393
_cell_length_b 6.393
_cell_length_c 10.138
_cell_angle_alpha 71.62
_cell_angle_beta 71.62
_cell_angle_gamma 60.00
loop_
_space_group_symop_operation_xyz
'x,y,z'
loop_
_atom_site_label
_atom_site_type_symbol
_atom_site_fract_x
_atom_site_fract_y
_atom_site_fract_z
C1 C 0.613 0.273 0.172
Th1 Th 0.897 0.228 0.311
C2 C 0.387 0.727 0.828
C3 C 0.727 0.057 0.828
Th2 Th 0.103 0.772 0.689
Th3 Th 0.435 0.103 0.689
Th4 Th 0.667 0.667 0.000
Th5 Th 0.565 0.897 0.311
Th6 Th 0.228 0.565 0.311
C4 C 0.057 0.387 0.828
C5 C 0.273 0.943 0.172
C6 C 0.943 0.613 0.172
Th7 Th 0.333 0.333 0.000
Th8 Th 0.772 0.435 0.689
Ho1 Ho 0.000 0.000 0.000